(1)
DFT (PBE) results for an optimized crystal structure of ZnRe5.

Lattice parameters (Å, degrees): 5.206 5.206 6.449 74.81 74.81 31.97
Fractional coordinates of all 6 atoms:
Re1 0.334 0.334 0.344
Re2 0.951 0.951 0.598
Re3 0.657 0.657 0.678
Re4 0.993 0.993 0.012
Re5 0.617 0.617 0.268
Zn1 0.281 0.281 0.934

- SG = Cm (8)
- spin magnetization (μB per formula unit) = 0.0
- excess energy over the best structure of this formula in the dataset (meV/atom) = 36
- calculated formation energy (meV/atom) = 123


(2)
DFT (PBE) results for an optimized crystal structure of Zn3Re4.

Lattice parameters (Å, degrees): 11.518 11.518 11.518 164.89 164.89 21.43
Fractional coordinates of all 7 atoms:
Zn1 0.715 0.715 0.000
Zn2 0.285 0.285 0.000
Zn3 0.000 0.000 0.000
Re1 0.138 0.138 0.000
Re2 0.862 0.862 0.000
Re3 0.574 0.574 0.000
Re4 0.426 0.426 0.000

- SG = I4/mmm (139)
- spin magnetization (μB per formula unit) = 0.0
- calculated formation energy (meV/atom) = 106


(3)
DFT (PBE) results for an optimized crystal structure of Zn3Re.

Lattice parameters (Å, degrees): 3.697 3.697 4.942 111.97 111.97 90.00
Fractional coordinates of all 4 atoms:
Zn1 0.250 0.750 0.500
Zn2 0.500 0.500 0.000
Zn3 0.750 0.250 0.500
Re1 0.000 0.000 0.000

- SG = I4/mmm (139)
- spin magnetization (μB per formula unit) = 0.0
- excess energy over the best structure of this formula in the dataset (meV/atom) = 165
- calculated formation energy (meV/atom) = 262


Number 1: E -62.77 eV per cell. Number 2: E -52.87 eV per cell. Number 3: E -15.22 eV per cell.